# Sm6Co2Pb PBE optimized geometry
data_Sm6Co2Pb
_chemical_formula_sum 'Sm12 Co4 Pb2'
_cell_length_a 8.606
_cell_length_b 8.606
_cell_length_c 8.606
_cell_angle_alpha 112.24
_cell_angle_beta 108.79
_cell_angle_gamma 107.42
_space_group_name_H-M_alt 'P 1'
_space_group_IT_number 1
_space_group_name_Hall 'P 1'
loop_
_atom_site_label
_atom_site_fract_x
_atom_site_fract_y
_atom_site_fract_z
Sm1 0.025 0.234 0.791
Sm2 0.184 0.286 0.470
Sm3 0.184 0.714 0.898
Sm4 0.324 0.008 0.685
Sm5 0.324 0.639 0.315
Sm6 0.443 0.234 0.209
Sm7 0.557 0.766 0.791
Sm8 0.676 0.361 0.685
Sm9 0.676 0.992 0.315
Sm10 0.816 0.286 0.102
Sm11 0.816 0.714 0.530
Sm12 0.975 0.766 0.209
Co1 0.110 0.610 0.500
Co2 0.347 0.000 0.347
Co3 0.653 0.000 0.653
Co4 0.890 0.390 0.500
Pb1 0.000 0.000 0.000
Pb2 0.500 0.500 0.000
# Raw total energy   -48.18 eV per formula unit
# Magnetization   0.00 μB per cell
# Formation energy from the elements   -0.216 eV/atom
# Calculated volume   489.8 Å³/cell



# ErVTc PBE optimized geometry
data_ErVTc
_chemical_formula_sum 'Er1 V1 Tc1'
_cell_length_a 5.767
_cell_length_b 5.767
_cell_length_c 5.767
_cell_angle_alpha 147.82
_cell_angle_beta 147.82
_cell_angle_gamma 46.15
_space_group_name_H-M_alt 'P 1'
_space_group_IT_number 1
_space_group_name_Hall 'P 1'
loop_
_atom_site_label
_atom_site_fract_x
_atom_site_fract_y
_atom_site_fract_z
Er1 0.000 0.000 0.000
V1 0.700 0.700 0.000
Tc1 0.312 0.312 0.000
# Raw total energy   -24.12 eV per formula unit
# E above lowest polymorph   0.0 meV per atom
# Magnetization   0.00 μB per cell
# Formation energy from the elements   -0.024 eV/atom
# Calculated volume   54.2 Å³/cell